La2Tb5Y3 | Alexandria via LeMat-Bulk | PBE-GGA | optimized geometry; crystal system = monoclinic; ΔE_f = 0.19 eV/atom; raw total energy = -5.045 eV per atom; N(E_F) = 17.256 states/eV/f.u.
1.0
5.385 -8.068 0.000
5.385 8.068 0.000
-5.351 0.000 7.767
La Tb Y
4 10 6
Direct
0.015 0.272 0.049 La
0.272 0.015 0.549 La
0.728 0.985 0.451 La
0.985 0.728 0.951 La
0.148 0.389 0.780 Tb
0.229 0.771 0.750 Tb
0.274 0.726 0.250 Tb
0.389 0.148 0.280 Tb
0.471 0.529 0.250 Tb
0.529 0.471 0.750 Tb
0.611 0.852 0.720 Tb
0.726 0.274 0.750 Tb
0.771 0.229 0.250 Tb
0.852 0.611 0.220 Tb
0.021 0.979 0.750 Y
0.221 0.467 0.454 Y
0.467 0.221 0.954 Y
0.533 0.779 0.046 Y
0.779 0.533 0.546 Y
0.979 0.021 0.250 Y